{"formula": "TlIr", "functional": "PBE", "state": "optimized geometry", "lattice": [[4.7094, -0.0371, -0.0231], [3.6612, 2.9623, -0.0231], [3.6612, 1.2795, 2.6718]], "species": ["Ir", "Tl"], "fractional_positions": [[0.0000, 0.0000, 0.0000], [0.5000, 0.5000, 0.5000]], "space_group": "R-3m (166)", "m_tot_mub_per_cell": 0.00, "energy_ev_per_cell": -9.9, "dos_ef_per_ev_atom": 1.405}

***

{"formula": "TmPPt3", "functional": "PBE", "state": "optimized geometry", "lattice": [[-2.2496, 2.6284, 2.0030], [-1.6427, -5.9993, 6.0276], [8.0084, 2.9521, 5.1208]], "species": ["Pt", "Pt", "Pt", "Pt", "Pt", "Pt", "Pt", "Pt", "Pt", "Pt", "Pt", "Pt", "Tm", "Tm", "Tm", "Tm", "P", "P", "P", "P"], "fractional_positions": [[0.2500, 0.5850, 0.4096], [0.2500, 0.2331, 0.4704], [0.2500, 0.7331, 0.0296], [0.7500, 0.1853, 0.2751], [0.2500, 0.0850, 0.0904], [0.7500, 0.9150, 0.9096], [0.2500, 0.8147, 0.7249], [0.7500, 0.4150, 0.5904], [0.2500, 0.3147, 0.7751], [0.7500, 0.6853, 0.2249], [0.7500, 0.7669, 0.5296], [0.7500, 0.2669, 0.9704], [0.7500, 0.5795, 0.8695], [0.2500, 0.9205, 0.3695], [0.2500, 0.4205, 0.1305], [0.7500, 0.0795, 0.6305], [0.7500, 0.9450, 0.1545], [0.2500, 0.5550, 0.6545], [0.2500, 0.0550, 0.8455], [0.7500, 0.4450, 0.3455]], "space_group": "Pnma (62)", "m_tot_mub_per_cell": 0.00, "energy_ev_per_cell": -129.9, "dos_ef_per_ev_atom": 0.325}

***

{"formula": "CuGe2Rh2", "functional": "PBE", "state": "optimized geometry", "lattice": [[-5.9743, -0.1324, 3.9503], [2.9157, -4.9812, 4.2428], [1.0779, 2.0788, 1.6999]], "species": ["Cu", "Cu", "Ge", "Ge", "Ge", "Ge", "Rh", "Rh", "Rh", "Rh"], "fractional_positions": [[0.5000, 0.5000, 0.0000], [0.0000, 0.0000, 0.0000], [0.6556, 0.8444, 0.5000], [0.3444, 0.1556, 0.5000], [0.1556, 0.6556, 0.5000], [0.8444, 0.3444, 0.5000], [0.6438, 0.1438, 0.0000], [0.3562, 0.8562, 0.0000], [0.1438, 0.3562, 0.0000], [0.8562, 0.6438, 0.0000]], "space_group": "P4/mbm (127)", "polymorph_energy_mev_per_atom": 0.0, "m_tot_mub_per_cell": 0.00, "energy_ev_per_cell": -58.9, "dos_ef_per_ev_atom": 0.360}

***

{"formula": "TeMo3P3", "functional": "PBE", "state": "optimized geometry", "lattice": [[-7.1847, -4.8216, -5.8908], [5.0758, -3.6020, 5.5017], [-3.0175, 0.6085, 3.1822]], "species": ["Te", "Te", "P", "P", "P", "P", "P", "P", "Mo", "Mo", "Mo", "Mo", "Mo", "Mo"], "fractional_positions": [[0.5905, 0.2027, 0.2500], [0.4095, 0.7973, 0.7500], [0.6801, 0.8511, 0.7500], [0.0910, 0.7285, 0.7500], [0.7669, 0.5855, 0.2500], [0.2331, 0.4145, 0.7500], [0.3199, 0.1489, 0.2500], [0.9090, 0.2715, 0.2500], [0.0555, 0.8309, 0.2500], [0.1351, 0.2414, 0.2500], [0.8198, 0.9173, 0.2500], [0.1802, 0.0827, 0.7500], [0.9445, 0.1691, 0.7500], [0.8649, 0.7586, 0.7500]], "space_group": "P2_1/m (11)", "polymorph_energy_mev_per_atom": 31.2, "m_tot_mub_per_cell": 0.00, "energy_ev_per_cell": -104.1, "dos_ef_per_ev_atom": 0.496}

***

{"formula": "NdSm2Dy", "functional": "PBE", "state": "optimized geometry", "lattice": [[-3.6079, 0.8604, 2.1160], [-2.2797, -1.1070, -3.4369], [-0.2488, -6.9709, 2.4103]], "species": ["Sm", "Sm", "Nd", "Dy"], "fractional_positions": [[0.0000, 0.0000, 0.7546], [0.0000, 0.0000, 0.2454], [0.5000, 0.5000, 0.5000], [0.5000, 0.5000, 0.0000]], "space_group": "P4/mmm (123)", "polymorph_energy_mev_per_atom": 104.1, "m_tot_mub_per_cell": 0.00, "energy_ev_per_cell": -18.3, "dos_ef_per_ev_atom": 2.241}

***

{"formula": "TcPdSe2", "functional": "PBE", "state": "optimized geometry", "lattice": [[5.7922, 0.0000, 0.0000], [0.0000, 5.7922, 0.0000], [2.8961, 2.8961, 5.3703]], "species": ["Se", "Se", "Se", "Se", "Pd", "Pd", "Tc", "Tc"], "fractional_positions": [[0.3750, 0.3937, 0.7500], [0.8750, 0.8563, 0.7500], [0.6063, 0.1250, 0.2500], [0.1437, 0.6250, 0.2500], [0.0000, 0.0000, 0.0000], [0.7500, 0.2500, 0.5000], [0.2500, 0.7500, 0.5000], [0.5000, 0.5000, 0.0000]], "space_group": "I-42d (122)", "polymorph_energy_mev_per_atom": 65.2, "m_tot_mub_per_cell": 0.00, "energy_ev_per_cell": -45.2, "dos_ef_per_ev_atom": 0.741}

***

{"formula": "Ta3BRh", "functional": "PBE", "state": "optimized geometry", "lattice": [[4.3116, 0.0000, 0.0000], [0.0000, 4.3116, 0.0000], [0.0000, 0.0000, 4.3116]], "species": ["B", "Ta", "Ta", "Ta", "Rh"], "fractional_positions": [[0.0000, 0.0000, 0.0000], [0.0000, 0.5000, 0.0000], [0.0000, 0.0000, 0.5000], [0.5000, 0.0000, 0.0000], [0.5000, 0.5000, 0.5000]], "space_group": "Pm-3m (221)", "polymorph_energy_mev_per_atom": 0.0, "m_tot_mub_per_cell": 0.00, "energy_ev_per_cell": -50.0, "dos_ef_per_ev_atom": 0.868}

***

{"formula": "Tb5Sm3Er4", "functional": "PBE", "state": "optimized geometry", "lattice": [[-0.2266, 5.5377, -1.9858], [-0.2619, 0.0636, -8.5201], [-8.3282, 3.8468, 2.9504]], "species": ["Tb", "Tb", "Tb", "Tb", "Tb", "Er", "Er", "Er", "Er", "Sm", "Sm", "Sm"], "fractional_positions": [[0.5000, 0.5000, 0.5000], [0.6232, 0.9514, 0.8021], [0.2148, 0.4585, 0.1120], [0.7852, 0.5415, 0.8880], [0.3768, 0.0486, 0.1979], [0.1402, 0.7786, 0.9409], [0.8598, 0.2214, 0.0591], [0.1660, 0.0449, 0.6232], [0.8340, 0.9551, 0.3768], [0.4789, 0.3133, 0.7290], [0.0000, 0.5000, 0.5000], [0.5211, 0.6867, 0.2710]], "space_group": "C2/m (12)", "polymorph_energy_mev_per_atom": 220.6, "m_tot_mub_per_cell": 0.24, "energy_ev_per_cell": -52.7, "dos_ef_per_ev_atom": 1.602}

***

{"formula": "CdIrSBr2", "functional": "PBE", "state": "optimized geometry", "lattice": [[5.6671, 0.0000, 0.0000], [0.0000, 4.2790, 0.0000], [0.0000, 0.0000, 5.6671]], "species": ["Ir", "Br", "Br", "S", "Cd"], "fractional_positions": [[0.0000, 0.5000, 0.0000], [0.0000, 0.0000, 0.5000], [0.5000, 0.0000, 0.0000], [0.0000, 0.0000, 0.0000], [0.5000, 0.5000, 0.5000]], "space_group": "P4/mmm (123)", "m_tot_mub_per_cell": 1.06, "energy_ev_per_cell": -14.2, "dos_ef_per_ev_atom": 1.276}

***

{"formula": "NdDyC", "functional": "PBE", "state": "optimized geometry", "lattice": [[6.5010, 0.0000, 0.0000], [0.0000, 3.6195, 0.0000], [0.0000, -1.8097, 3.1346]], "species": ["Dy", "Nd", "C"], "fractional_positions": [[0.1257, 0.0000, 0.0000], [0.5519, 0.6667, 0.3333], [0.3225, 0.3333, 0.6667]], "space_group": "P3m1 (156)", "polymorph_energy_mev_per_atom": 5.6, "m_tot_mub_per_cell": 0.00, "energy_ev_per_cell": -19.1, "dos_ef_per_ev_atom": 0.813}

***

{"formula": "SrLi2TlRh", "functional": "PBE", "state": "optimized geometry", "lattice": [[4.8729, 0.0000, 0.0000], [0.0000, 4.8729, 0.0000], [0.0000, 0.0000, 5.2577]], "species": ["Sr", "Li", "Li", "Tl", "Rh"], "fractional_positions": [[0.5000, 0.5000, 0.5000], [0.5000, 0.0000, 0.0000], [0.0000, 0.5000, 0.0000], [0.0000, 0.0000, 0.5000], [0.0000, 0.0000, 0.0000]], "space_group": "P4/mmm (123)", "m_tot_mub_per_cell": 0.00, "energy_ev_per_cell": -15.8, "dos_ef_per_ev_atom": 0.529}

***

{"formula": "Cs2LiAu", "functional": "PBE", "state": "optimized geometry", "lattice": [[13.5296, 0.0000, 0.0000], [0.0000, 13.5296, 0.0000], [6.7648, 6.7648, 2.6001]], "species": ["Li", "Li", "Au", "Au", "Cs", "Cs", "Cs", "Cs"], "fractional_positions": [[0.2500, 0.7500, 0.5000], [0.5000, 0.5000, 0.0000], [0.7500, 0.2500, 0.5000], [0.0000, 0.0000, 0.0000], [0.3750, 0.2046, 0.7500], [0.7954, 0.1250, 0.2500], [0.8750, 0.0454, 0.7500], [0.9546, 0.6250, 0.2500]], "space_group": "I-42d (122)", "polymorph_energy_mev_per_atom": 0.0, "m_tot_mub_per_cell": 0.00, "energy_ev_per_cell": -14.8, "dos_ef_per_ev_atom": 0.186}

***

{"formula": "SmTlI", "functional": "PBE", "state": "optimized geometry", "lattice": [[4.0130, -0.7256, 0.2336], [-0.8036, 6.9756, -0.1626], [0.1575, 2.5891, 8.0233]], "species": ["Sm", "Sm", "I", "I", "Tl", "Tl"], "fractional_positions": [[0.3676, 0.7322, 0.4645], [0.6324, 0.2678, 0.5355], [0.8527, 0.6807, 0.1922], [0.1473, 0.3193, 0.8078], [0.9058, 0.8303, 0.7227], [0.0942, 0.1697, 0.2773]], "space_group": "P-1 (2)", "polymorph_energy_mev_per_atom": 305.9, "m_tot_mub_per_cell": 0.00, "energy_ev_per_cell": -20.2, "dos_ef_per_ev_atom": 0.415}

***

{"formula": "CaSm4In2", "functional": "PBE", "state": "optimized geometry", "lattice": [[5.2475, 0.0000, 1.6394], [2.3677, 4.6830, 1.6394], [0.1253, 0.0770, 8.8169]], "species": ["In", "In", "Sm", "Sm", "Sm", "Sm", "Ca"], "fractional_positions": [[0.7186, 0.7186, 0.8443], [0.2814, 0.2814, 0.1557], [0.8469, 0.8469, 0.4592], [0.1531, 0.1531, 0.5408], [0.4197, 0.4197, 0.7409], [0.5803, 0.5803, 0.2591], [0.0000, 0.0000, 0.0000]], "space_group": "R-3m (166)", "m_tot_mub_per_cell": 0.00, "energy_ev_per_cell": -28.2, "dos_ef_per_ev_atom": 0.747}

***

{"formula": "La2ZnFeC", "functional": "PBE", "state": "optimized geometry", "lattice": [[5.3325, 0.0000, 0.0000], [0.0000, 5.3325, 0.0000], [0.0000, 0.0000, 3.6985]], "species": ["Fe", "Zn", "La", "La", "C"], "fractional_positions": [[0.0000, 0.0000, 0.5000], [0.5000, 0.5000, 0.5000], [0.0000, 0.5000, 0.0000], [0.5000, 0.0000, 0.0000], [0.0000, 0.0000, 0.0000]], "space_group": "P4/mmm (123)", "m_tot_mub_per_cell": 0.18, "energy_ev_per_cell": -29.8, "dos_ef_per_ev_atom": 0.460}

***

{"formula": "Tl2CrCuS4", "functional": "PBE", "state": "optimized geometry", "lattice": [[-5.3382, -0.0347, 0.9638], [-3.5837, -4.2259, -4.7355], [-1.4120, -8.5426, 7.1384]], "species": ["Tl", "Tl", "Tl", "Tl", "Cr", "Cr", "Cu", "Cu", "S", "S", "S", "S", "S", "S", "S", "S"], "fractional_positions": [[0.5703, 0.5000, 0.8594], [0.9297, 0.5000, 0.1406], [0.8203, 0.0000, 0.3594], [0.1797, 0.0000, 0.6406], [0.0000, 0.0000, 0.0000], [0.7500, 0.5000, 0.5000], [0.5000, 0.0000, 0.0000], [0.2500, 0.5000, 0.5000], [0.2609, 0.8147, 0.1139], [0.1248, 0.3147, 0.3861], [0.6252, 0.1853, 0.1139], [0.8256, 0.6853, 0.6139], [0.4891, 0.6853, 0.3861], [0.9244, 0.8147, 0.8861], [0.1895, 0.1853, 0.8861], [0.5605, 0.3147, 0.6139]], "space_group": "Fddd (70)", "m_tot_mub_per_cell": 2.00, "energy_ev_per_cell": -77.1, "dos_ef_per_ev_atom": 0.394}

***

{"formula": "BaSr2H6", "functional": "PBE", "state": "optimized geometry", "lattice": [[4.0297, -0.0004, -1.3027], [-0.8891, 5.2772, -2.7520], [0.1400, 0.4085, 7.3174]], "species": ["Ba", "H", "H", "H", "H", "H", "H", "Sr", "Sr"], "fractional_positions": [[0.0000, 0.0000, 0.0000], [0.8271, 0.0860, 0.6541], [0.1729, 0.9140, 0.3459], [0.1729, 0.4319, 0.3459], [0.5000, 0.7318, 0.0000], [0.8271, 0.5681, 0.6541], [0.5000, 0.2682, 0.0000], [0.6685, 0.6686, 0.3372], [0.3315, 0.3314, 0.6628]], "space_group": "Immm (71)", "m_tot_mub_per_cell": 0.00, "energy_ev_per_cell": -30.0}

***

{"formula": "SrHf2S4", "functional": "PBE", "state": "optimized geometry", "lattice": [[3.8150, 0.0000, 0.0000], [-1.9075, 6.1008, 0.0000], [0.0000, 0.0000, 12.8259]], "species": ["Hf", "Hf", "Hf", "Hf", "S", "S", "S", "S", "S", "S", "S", "S", "Sr", "Sr"], "fractional_positions": [[0.8787, 0.7574, 0.9392], [0.1213, 0.2426, 0.4392], [0.8787, 0.7574, 0.5608], [0.1213, 0.2426, 0.0608], [0.7647, 0.5294, 0.3912], [0.7647, 0.5294, 0.1088], [0.2353, 0.4706, 0.8912], [0.5000, 0.0000, 0.5000], [0.2353, 0.4706, 0.6088], [0.5000, 0.0000, 0.0000], [0.0663, 0.1326, 0.2500], [0.9337, 0.8674, 0.7500], [0.3820, 0.7641, 0.2500], [0.6180, 0.2359, 0.7500]], "space_group": "Cmcm (63)", "m_tot_mub_per_cell": 0.00, "energy_ev_per_cell": -99.5, "dos_ef_per_ev_atom": 0.265}

***

{"formula": "HoGe2Cl8", "functional": "PBE", "state": "optimized geometry", "lattice": [[-5.6493, -2.8937, 3.9095], [2.7548, -0.9415, 6.9884], [-2.6717, 5.7673, 4.1126]], "species": ["Cl", "Cl", "Cl", "Cl", "Cl", "Cl", "Cl", "Cl", "Ge", "Ge", "Ho"], "fractional_positions": [[0.1862, 0.8925, 0.2819], [0.2267, 0.3236, 0.3236], [0.1862, 0.2819, 0.8925], [0.8138, 0.1075, 0.7181], [0.2971, 0.8133, 0.8133], [0.7029, 0.1867, 0.1867], [0.7733, 0.6764, 0.6764], [0.8138, 0.7181, 0.1075], [0.3762, 0.1346, 0.1346], [0.6238, 0.8654, 0.8654], [0.0000, 0.0000, 0.0000]], "space_group": "C2/m (12)", "m_tot_mub_per_cell": 0.00, "energy_ev_per_cell": -42.0, "dos_ef_per_ev_atom": 0.571}

***

{"formula": "Ba2HgAu", "functional": "PBE", "state": "optimized geometry", "lattice": [[8.9253, 0.0000, 0.0000], [0.0000, 8.9253, 0.0000], [4.4627, 4.4627, 4.2282]], "species": ["Au", "Au", "Hg", "Hg", "Ba", "Ba", "Ba", "Ba"], "fractional_positions": [[0.5000, 0.5000, 0.0000], [0.2500, 0.7500, 0.5000], [0.0000, 0.0000, 0.0000], [0.7500, 0.2500, 0.5000], [0.8750, 0.8540, 0.7500], [0.3750, 0.3960, 0.7500], [0.6040, 0.1250, 0.2500], [0.1460, 0.6250, 0.2500]], "space_group": "I-42d (122)", "m_tot_mub_per_cell": 0.00, "energy_ev_per_cell": -17.9, "dos_ef_per_ev_atom": 0.783}

***

{"formula": "ZrCo6B3", "functional": "PBE", "state": "optimized geometry", "lattice": [[4.3268, 0.0001, -2.3185], [-2.7848, 4.0424, -0.0001], [0.2456, 0.1694, 5.6548]], "species": ["Co", "Co", "Co", "Co", "Co", "Co", "B", "B", "B", "Zr"], "fractional_positions": [[0.1710, 0.6347, 0.2572], [0.2765, 0.8898, 0.6752], [0.2886, 0.3988, 0.6752], [0.6225, 0.5363, 0.2572], [0.7854, 0.3866, 0.6752], [0.7209, 0.0862, 0.2572], [0.6468, 0.3234, 0.9702], [0.2509, 0.1254, 0.3764], [0.3133, 0.6566, 0.9699], [0.9241, 0.9621, 0.8862]], "space_group": "R3 (146)", "m_tot_mub_per_cell": 1.93, "energy_ev_per_cell": -73.7, "dos_ef_per_ev_atom": 1.106}

***

{"formula": "ScMnSN2", "functional": "PBE", "state": "optimized geometry", "lattice": [[-1.0736, -1.7518, 3.5267], [-1.9811, -2.9189, -2.0529], [4.2508, -2.8126, -0.1031]], "species": ["Mn", "N", "N", "S", "Sc"], "fractional_positions": [[0.5000, 0.5000, 0.5000], [0.5000, 0.0000, 0.0000], [0.0000, 0.5000, 0.0000], [0.0000, 0.0000, 0.5000], [0.0000, 0.0000, 0.0000]], "space_group": "P4/mmm (123)", "polymorph_energy_mev_per_atom": 799.0, "m_tot_mub_per_cell": 2.88, "energy_ev_per_cell": -33.5, "dos_ef_per_ev_atom": 0.462}